No. 1
## LiMn2F7 (SCAN)

Data for a PBEsol-optimized structure of LiMn2F7. Values from VASP.

```
&SYSTEM
  ibrav = 0, nat = 40, ntyp = 3
/
ATOMIC_SPECIES
F 19.00 F.upf
Mn 54.94 Mn.upf
Li 6.94 Li.upf
CELL_PARAMETERS angstrom
4.9712 0.0000 0.0000
0.0000 7.3446 0.0574
0.0000 -1.3348 12.5868
ATOMIC_POSITIONS crystal
F 0.6408 0.5306 0.6106
F 0.0506 0.2390 0.2562
F 0.5999 0.4000 0.1748
F 0.0999 0.1000 0.8252
F 0.5506 0.2610 0.7438
Mn 0.7540 0.6483 0.1793
Mn 0.2460 0.3517 0.8207
F 0.5743 0.6833 0.0532
F 0.9360 0.6368 0.3094
F 0.3592 0.4694 0.3894
F 0.0526 0.7034 0.5239
Mn 0.2517 0.2198 0.3922
F 0.4257 0.3167 0.9468
Li 0.7466 0.6712 0.9165
F 0.0743 0.8167 0.9468
F 0.9494 0.7610 0.7438
Li 0.2466 0.8288 0.0835
F 0.9001 0.9000 0.1748
F 0.8592 0.0306 0.6106
F 0.0640 0.3632 0.6906
Mn 0.2540 0.8517 0.8207
F 0.4474 0.2034 0.5239
F 0.5640 0.1368 0.3094
Mn 0.7460 0.1483 0.1793
Li 0.2534 0.3288 0.0835
F 0.0628 0.5669 0.1088
Mn 0.2483 0.7198 0.3922
F 0.9257 0.1833 0.0532
F 0.9372 0.4331 0.8912
F 0.4494 0.7390 0.2562
Mn 0.7483 0.7802 0.6078
F 0.5526 0.7966 0.4761
Mn 0.7517 0.2802 0.6078
F 0.4372 0.0669 0.1088
F 0.1408 0.9694 0.3894
F 0.9474 0.2966 0.4761
F 0.5628 0.9331 0.8912
Li 0.7534 0.1712 0.9165
F 0.4360 0.8632 0.6906
F 0.4001 0.6000 0.8252
```

Summary:
Energy relative to the elements, uncorrected in eV per atom: -2.89
Calculated total energy in eV per atom: -9.2531
E above lowest polymorph in meV per atom: 0.0

No. 2
## Ca2InSe2 (SCAN)

Data for a PBEsol-optimized structure of Ca2InSe2. Values from VASP.

```
&SYSTEM
  ibrav = 0, nat = 10, ntyp = 3
/
ATOMIC_SPECIES
Se 78.96 Se.upf
In 114.82 In.upf
Ca 40.08 Ca.upf
CELL_PARAMETERS angstrom
-3.0938 1.3810 -1.7443
-2.3419 -7.4970 -1.7818
-4.0775 -0.3746 6.9353
ATOMIC_POSITIONS crystal
Se 0.0000 0.1489 0.3511
In 0.0000 0.0000 0.0000
Ca 0.5000 0.8439 0.3439
Ca 0.5000 0.1561 0.6561
Ca 0.5000 0.6561 0.8439
In 0.0000 0.5000 0.5000
Se 0.0000 0.3511 0.8511
Ca 0.5000 0.3439 0.1561
Se 0.0000 0.6489 0.1489
Se 0.0000 0.8511 0.6489
```

Summary:
Energy relative to the elements, uncorrected in eV per atom: -1.45
Calculated total energy in eV per atom: -20.0205

No. 3
## BaB2PdPb (SCAN)

Data for a PBEsol-optimized structure of BaB2PdPb. Values from VASP.

```
&SYSTEM
  ibrav = 0, nat = 5, ntyp = 4
/
ATOMIC_SPECIES
B 10.81 B.upf
Ba 137.33 Ba.upf
Pd 106.42 Pd.upf
Pb 207.20 Pb.upf
CELL_PARAMETERS angstrom
4.3801 0.0000 0.0000
0.0000 4.3801 0.0000
0.0000 0.0000 5.5041
ATOMIC_POSITIONS crystal
B 0.0000 0.5000 0.0000
Ba 0.5000 0.5000 0.5000
Pd 0.0000 0.0000 0.0000
Pb 0.0000 0.0000 0.5000
B 0.5000 0.0000 0.0000
```

Summary:
ΔE_f in meV/atom: 779
Calculated total energy in eV per atom: -31.8136

Q: Number 2 is which compound?
A: Ca2InSe2

Q: Which of these has the highest calculated total energy?
A: LiMn2F7